# 1
# SrEuCrInO6, relaxed, DFT PBE with a Hubbard U
data_SrEuCrInO6
_chemical_formula_sum 'Sr4 Eu4 Cr4 In4 O24'
_space_group_name_H-M_alt 'F -4 3 m'
_space_group_IT_number 216
_space_group_name_Hall 'F -4 2 3'
_cell_length_a 8.036
_cell_length_b 8.036
_cell_length_c 8.036
_cell_angle_alpha 90.00
_cell_angle_beta 90.00
_cell_angle_gamma 90.00
loop_
_atom_site_label
_atom_site_fract_x
_atom_site_fract_y
_atom_site_fract_z
Sr1 0.000 0.000 0.000
Eu1 0.000 0.000 0.500
Cr1 0.250 0.250 0.750
In1 0.250 0.250 0.250
O1 0.013 0.250 0.750
# theoretical density = 6.43 g/cm3
# energy = -288.9 eV per cell

=====

# 2
# LiEu2Cr2O8, relaxed, DFT PBE with a Hubbard U
data_LiEu2Cr2O8
_chemical_formula_sum 'Li2 Eu4 Cr4 O16'
_space_group_name_H-M_alt 'C 1 2 1'
_space_group_IT_number 5
_cell_length_a 6.471
_cell_length_b 10.728
_cell_length_c 6.121
_cell_angle_alpha 90.00
_cell_angle_beta 120.77
_cell_angle_gamma 90.00
loop_
_space_group_symop_operation_xyz
'x,y,z'
'-x,y,-z'
'x+1/2,y+1/2,z'
'-x+1/2,y+1/2,-z'
loop_
_atom_site_label
_atom_site_fract_x
_atom_site_fract_y
_atom_site_fract_z
Li1 0.000 0.000 0.000
Eu1 0.000 0.287 0.000
Eu2 0.000 0.520 0.500
Cr1 0.000 0.023 0.500
Cr2 0.000 0.761 0.000
O1 0.061 0.104 0.293
O2 0.080 0.683 0.814
O3 0.240 0.440 0.321
O4 0.242 0.866 0.167
# theoretical density = 4.94 g/cm3
# energy = -208.6 eV per cell
# E above lowest polymorph = 0.0000 eV/atom